No. 1
The following is a DFT calculation (PBE) of crystalline TbDyHgPb at its relaxed geometry.

Summary:
Magnetic moment ... 0.00 μB/f.u.
E_tot ... -0.138 hartree per atom
Energy above the lowest structure with this stoichiometry ... 1 kJ/mol of formula units
Calculated density ... 11.18 Mg/m³
Crystal system ... cubic
Energy of formation from the pure elements ... -10.54 kcal/mol of atoms
Space group ... F-43m (216)

a b c (Å): 5.3504 5.3504 5.3504
angles (deg): 60.00 60.00 60.00
Closest atoms and distances in Å follow each position.
Fractional coordinates of all 4 atoms:
Tb 0.0000 0.0000 0.0000  4 Hg 3.28, 4 Pb 3.28
Dy 0.5000 0.5000 0.5000  4 Hg 3.28, 4 Pb 3.28
Hg 0.7500 0.7500 0.7500  4 Tb 3.28, 4 Dy 3.28
Pb 0.2500 0.2500 0.2500  4 Dy 3.28, 4 Tb 3.28

=====

No. 2
The following is a DFT calculation (PBE) of crystalline CaRe2Br at its relaxed geometry.

Summary:
Magnetic moment ... 0.00 μB/f.u.
E_tot ... -0.249 hartree per atom
Formation energy (no corrections) ... 378 meV per atom
Energy above the lowest structure with this stoichiometry ... 125 kJ/mol of formula units
Calculated density ... 9.06 Mg/m³
Crystal system ... monoclinic
Space group ... C2/m (12)

a b c (Å): 6.1163 6.1163 4.4602
angles (deg): 100.14 100.14 33.39
Closest atoms and distances in Å follow each position.
Fractional coordinates of all 4 atoms:
Ca 0.0000 0.0000 0.0000  4 Br 2.84
Re 0.2771 0.2771 0.1742  2 Re 2.35
Re 0.7229 0.7229 0.8258  2 Re 2.35
Br 0.5000 0.5000 0.5000  2 Re 2.75, 4 Ca 2.84

=====

No. 3
The following is a DFT calculation (PBE) of crystalline Ho3BiSbS at its relaxed geometry.

Summary:
Magnetic moment ... 0.00 μB/f.u.
E_tot ... -0.198 hartree per atom
Formation energy (no corrections) ... -1066 meV per atom
Calculated density ... 7.71 Mg/m³
Crystal system ... monoclinic
Space group ... P2_1/m (11)

a b c (Å): 8.7786 4.4340 9.5990
angles (deg): 90.00 98.68 90.00
Closest atoms and distances in Å follow each position.
Fractional coordinates of all 12 atoms:
Ho 0.0959 0.2500 0.3591  3 Sb 3.01-3.08, 2 Bi 3.18
Ho 0.3063 0.2500 0.0133  3 S 2.60-2.66
Ho 0.3900 0.7500 0.6308  1 S 2.64
Ho 0.6100 0.2500 0.3692  1 S 2.64
Ho 0.6937 0.7500 0.9867  3 S 2.60-2.66
Ho 0.9041 0.7500 0.6409  3 Sb 3.01-3.08, 2 Bi 3.18
Bi 0.3332 0.7500 0.2898  7 Ho 3.18-3.44
Bi 0.6668 0.2500 0.7102  7 Ho 3.18-3.44
Sb 0.1502 0.2500 0.6763  6 Ho 3.01-3.32
Sb 0.8498 0.7500 0.3237  6 Ho 3.01-3.32
S 0.3904 0.7500 0.9058  4 Ho 2.60-2.66
S 0.6096 0.2500 0.0942  4 Ho 2.60-2.66

=====

No. 4
The following is a DFT calculation (PBE) of crystalline CaCo2Ni at its relaxed geometry.

Summary:
Magnetic moment ... 3.21 μB/f.u.
E_tot ... -0.187 hartree per atom
Calculated density ... 6.20 Mg/m³
Crystal system ... tetragonal
Energy of formation from the pure elements ... 9.61 kcal/mol of atoms
Space group ... P4/mmm (123)

a b c (Å): 3.7071 3.7071 4.2240
angles (deg): 90.00 90.00 90.00
Closest atoms and distances in Å follow each position.
Fractional coordinates of all 4 atoms:
Ca 0.0000 0.0000 0.0000  4 Ni 2.62, 8 Co 2.81
Co 0.0000 0.5000 0.5000  4 Co 2.62, 4 Ni 2.81, 4 Ca 2.81
Co 0.5000 0.0000 0.5000  4 Co 2.62, 4 Ni 2.81, 4 Ca 2.81
Ni 0.5000 0.5000 0.0000  4 Ca 2.62, 8 Co 2.81

=====

No. 5
The following is a DFT calculation (PBE) of crystalline La3PmDy2Y6 at its relaxed geometry.

Summary:
Magnetic moment ... 0.00 μB/f.u.
E_tot ... -0.206 hartree per atom
Calculated density ... 5.90 Mg/m³
Crystal system ... monoclinic
Energy of formation from the pure elements ... 0.39 kcal/mol of atoms
Space group ... C2/m (12)

a b c (Å): 6.2746 6.2746 11.9144
angles (deg): 95.03 95.03 120.01
Closest atoms and distances in Å follow each position.
Fractional coordinates of all 12 atoms:
La 0.0000 0.0000 0.0000  6 La 3.62, 6 Y 3.64
La 0.3332 0.6668 0.0000  6 La 3.62-3.63, 6 Y 3.64
La 0.6668 0.3332 0.0000  6 La 3.62-3.63, 6 Y 3.64
Pm 0.5000 0.5000 0.5000  6 Y 3.56, 6 Dy 3.62
Dy 0.1668 0.8332 0.5000  6 Y 3.56, 3 Dy 3.62, 3 Pm 3.62
Dy 0.8332 0.1668 0.5000  6 Y 3.56, 3 Dy 3.62, 3 Pm 3.62
Y 0.0845 0.4183 0.2543  2 Dy 3.56, 1 Pm 3.56, 6 Y 3.62-3.63, 3 La 3.64
Y 0.2480 0.2480 0.7458  2 Dy 3.56, 1 Pm 3.56, 6 Y 3.62-3.63, 3 La 3.64
Y 0.4183 0.0845 0.2543  2 Dy 3.56, 1 Pm 3.56, 6 Y 3.62-3.63, 3 La 3.64
Y 0.5817 0.9155 0.7457  2 Dy 3.56, 1 Pm 3.56, 6 Y 3.62-3.63, 3 La 3.64
Y 0.7520 0.7520 0.2542  2 Dy 3.56, 1 Pm 3.56, 6 Y 3.62-3.63, 3 La 3.64
Y 0.9155 0.5817 0.7457  2 Dy 3.56, 1 Pm 3.56, 6 Y 3.62-3.63, 3 La 3.64

=====

No. 6
The following is a DFT calculation (PBE) of crystalline Cd2AgAu3 at its relaxed geometry.

Summary:
Magnetic moment ... 0.00 μB/f.u.
E_tot ... -0.094 hartree per atom
Calculated density ... 13.46 Mg/m³
Crystal system ... monoclinic
Energy of formation from the pure elements ... -3.00 kcal/mol of atoms
Space group ... P2/m (10)

a b c (Å): 4.7990 3.3128 7.3540
angles (deg): 90.00 102.91 90.00
Closest atoms and distances in Å follow each position.
Fractional coordinates of all 6 atoms:
Cd 0.2280 0.0000 0.3324  8 Au 2.90-2.96, 1 Ag 3.02, 1 Cd 3.16
Cd 0.7720 0.0000 0.6676  8 Au 2.90-2.96, 1 Ag 3.02, 1 Cd 3.16
Ag 0.5000 0.0000 0.0000  8 Au 2.92-2.94, 2 Cd 3.02
Au 0.0000 0.5000 0.0000  4 Ag 2.92, 4 Cd 2.95, 2 Au 2.98
Au 0.2688 0.5000 0.6713  6 Cd 2.90-2.96, 2 Ag 2.94, 2 Au 2.98-3.18
Au 0.7312 0.5000 0.3287  6 Cd 2.90-2.96, 2 Ag 2.94, 2 Au 2.98-3.18

=====

No. 7
The following is a DFT calculation (PBE) of crystalline CdHg2H2 at its relaxed geometry.

Summary:
Magnetic moment ... 0.00 μB/f.u.
E_tot ... -0.058 hartree per atom
Energy above the lowest structure with this stoichiometry ... 0 kJ/mol of formula units
Calculated density ... 7.36 Mg/m³
Crystal system ... monoclinic
Space group ... C2/m (12)

a b c (Å): 9.8116 9.8116 5.2475
angles (deg): 98.34 98.34 147.45
Closest atoms and distances in Å follow each position.
Fractional coordinates of all 10 atoms:
Cd 0.1911 0.8089 0.0000  8 Hg 3.03-3.22
Cd 0.8089 0.1911 0.0000  8 Hg 3.03-3.22
Hg 0.1716 0.4882 0.6610  4 Cd 3.03-3.22, 3 Hg 3.04-3.11, 1 H 3.38
Hg 0.4882 0.1716 0.6610  4 Cd 3.03-3.22, 3 Hg 3.04-3.11, 1 H 3.38
Hg 0.5118 0.8284 0.3390  4 Cd 3.03-3.22, 3 Hg 3.04-3.11, 1 H 3.38
Hg 0.8284 0.5118 0.3390  4 Cd 3.03-3.22, 3 Hg 3.04-3.11, 1 H 3.38
H 0.2593 0.2593 0.2045  1 H 0.75
H 0.3340 0.3340 0.1184  1 H 0.75
H 0.6660 0.6660 0.8816  1 H 0.75
H 0.7407 0.7407 0.7955  1 H 0.75

=====

No. 8
The following is a DFT calculation (PBE) of crystalline KMn2Ru2 at its relaxed geometry.

Summary:
Magnetic moment ... 0.00 μB/f.u.
E_tot ... -0.250 hartree per atom
Calculated density ... 7.06 Mg/m³
Crystal system ... tetragonal
Energy of formation from the pure elements ... 18.02 kcal/mol of atoms
Space group ... I4/mmm (139)

a b c (Å): 5.5086 5.5086 5.5086
angles (deg): 134.89 134.89 65.70
Closest atoms and distances in Å follow each position.
Fractional coordinates of all 5 atoms:
K 0.0000 0.0000 0.0000  8 Ru 3.13, 8 Mn 3.19
Mn 0.3808 0.3808 0.0000  1 Mn 2.21, 4 Ru 2.44
Mn 0.6192 0.6192 0.0000  1 Mn 2.21, 4 Ru 2.44
Ru 0.2500 0.7500 0.5000  4 Mn 2.44
Ru 0.7500 0.2500 0.5000  4 Mn 2.44

=====

No. 9
The following is a DFT calculation (PBE) of crystalline AcTb2YEr at its relaxed geometry.

Summary:
Magnetic moment ... 0.00 μB/f.u.
E_tot ... -0.178 hartree per atom
Calculated density ... 7.74 Mg/m³
Crystal system ... monoclinic
Energy of formation from the pure elements ... 0.96 kcal/mol of atoms
Space group ... P2_1/m (11)

a b c (Å): 6.3777 5.8241 9.7593
angles (deg): 90.00 108.45 90.00
Closest atoms and distances in Å follow each position.
Fractional coordinates of all 10 atoms:
Ac 0.1367 0.2500 0.1059  4 Er 3.64-3.81, 3 Y 3.65-3.88, 3 Tb 3.67-3.68, 2 Ac 3.68
Ac 0.8633 0.7500 0.8941  4 Er 3.64-3.81, 3 Y 3.65-3.88, 3 Tb 3.67-3.68, 2 Ac 3.68
Tb 0.2687 0.7500 0.6982  3 Y 3.56-3.60, 3 Er 3.57-3.78, 4 Tb 3.58-3.75, 2 Ac 3.67
Tb 0.3390 0.2500 0.5035  6 Tb 3.58-3.75, 4 Y 3.59-3.63, 1 Er 3.61, 1 Ac 3.68
Tb 0.6610 0.7500 0.4965  6 Tb 3.58-3.75, 4 Y 3.59-3.63, 1 Er 3.61, 1 Ac 3.68
Tb 0.7313 0.2500 0.3018  3 Y 3.56-3.60, 3 Er 3.57-3.78, 4 Tb 3.58-3.75, 2 Ac 3.67
Y 0.0694 0.7500 0.3136  7 Tb 3.56-3.63, 3 Ac 3.65-3.88, 2 Er 3.67-3.77
Y 0.9306 0.2500 0.6864  7 Tb 3.56-3.63, 3 Ac 3.65-3.88, 2 Er 3.67-3.77
Er 0.4784 0.7500 0.1066  4 Tb 3.57-3.78, 4 Ac 3.64-3.81, 2 Er 3.64, 2 Y 3.67-3.77
Er 0.5216 0.2500 0.8934  4 Tb 3.57-3.78, 4 Ac 3.64-3.81, 2 Er 3.64, 2 Y 3.67-3.77

=====

No. 10
The following is a DFT calculation (PBE) of crystalline Pm3Rh2 at its relaxed geometry.

Summary:
Magnetic moment ... 0.00 μB/f.u.
E_tot ... -0.234 hartree per atom
Energy above the lowest structure with this stoichiometry ... 11 kJ/mol of formula units
Calculated density ... 7.70 Mg/m³
Crystal system ... trigonal
Energy of formation from the pure elements ... -13.58 kcal/mol of atoms
Space group ... R-3c (167)

a b c (Å): 7.6559 7.6559 7.6559
angles (deg): 54.48 54.48 54.48
Closest atoms and distances in Å follow each position.
Fractional coordinates of all 10 atoms:
Pm 0.0947 0.7500 0.4053  4 Rh 2.85-2.88
Pm 0.2500 0.5947 0.9053  4 Rh 2.85-2.88
Pm 0.4053 0.0947 0.7500  4 Rh 2.85-2.88
Pm 0.5947 0.9053 0.2500  4 Rh 2.85-2.88
Pm 0.7500 0.4053 0.0947  4 Rh 2.85-2.88
Pm 0.9053 0.2500 0.5947  4 Rh 2.85-2.88
Rh 0.1721 0.1721 0.1721  6 Pm 2.85-2.88, 1 Rh 3.04
Rh 0.3279 0.3279 0.3279  6 Pm 2.85-2.88, 1 Rh 3.04
Rh 0.6721 0.6721 0.6721  6 Pm 2.85-2.88, 1 Rh 3.04
Rh 0.8279 0.8279 0.8279  6 Pm 2.85-2.88, 1 Rh 3.04

=====

No. 11
The following is a DFT calculation (PBE) of crystalline Pr6SmDy12 at its relaxed geometry.

Summary:
Magnetic moment ... 0.00 μB/f.u.
E_tot ... -0.164 hartree per atom
Energy above the lowest structure with this stoichiometry ... 172 kJ/mol of formula units
Calculated density ... 7.48 Mg/m³
Crystal system ... trigonal
Energy of formation from the pure elements ... 4.93 kcal/mol of atoms
Space group ... R-3m (166)

a b c (Å): 8.7945 8.7945 8.7945
angles (deg): 98.76 98.76 98.76
Closest atoms and distances in Å follow each position.
Fractional coordinates of all 19 atoms:
Pr 0.1559 0.5978 0.5978  1 Pr 3.11, 1 Sm 3.46
Pr 0.4022 0.4022 0.8441  1 Pr 3.11, 1 Sm 3.46
Pr 0.4022 0.8441 0.4022  1 Pr 3.11, 1 Sm 3.46
Pr 0.5978 0.1559 0.5978  1 Pr 3.11, 1 Sm 3.46
Pr 0.5978 0.5978 0.1559  1 Pr 3.11, 1 Sm 3.46
Pr 0.8441 0.4022 0.4022  1 Pr 3.11, 1 Sm 3.46
Sm 0.5000 0.5000 0.5000  6 Pr 3.46
Dy 0.0000 0.2564 0.7436  6 Dy 3.37-3.55, 4 Pr 3.50-3.60
Dy 0.0000 0.7436 0.2564  6 Dy 3.37-3.55, 4 Pr 3.50-3.60
Dy 0.1442 0.1442 0.4188  6 Dy 3.37-3.67, 2 Pr 3.73
Dy 0.1442 0.4188 0.1442  6 Dy 3.37-3.67, 2 Pr 3.73
Dy 0.2564 0.0000 0.7436  6 Dy 3.37-3.55, 4 Pr 3.50-3.60
Dy 0.2564 0.7436 0.0000  6 Dy 3.37-3.55, 4 Pr 3.50-3.60
Dy 0.4188 0.1442 0.1442  6 Dy 3.37-3.67, 2 Pr 3.73
Dy 0.5812 0.8558 0.8558  6 Dy 3.37-3.67, 2 Pr 3.73
Dy 0.7436 0.0000 0.2564  6 Dy 3.37-3.55, 4 Pr 3.50-3.60
Dy 0.7436 0.2564 0.0000  6 Dy 3.37-3.55, 4 Pr 3.50-3.60
Dy 0.8558 0.5812 0.8558  6 Dy 3.37-3.67, 2 Pr 3.73
Dy 0.8558 0.8558 0.5812  6 Dy 3.37-3.67, 2 Pr 3.73

=====

No. 12
The following is a DFT calculation (PBE) of crystalline Tb6SnHg6 at its relaxed geometry.

Summary:
Magnetic moment ... 1.28 μB/f.u.
E_tot ... -0.106 hartree per atom
Calculated density ... 10.59 Mg/m³
Crystal system ... hexagonal
Energy of formation from the pure elements ... -7.00 kcal/mol of atoms
Space group ... P6/mmm (191)

a b c (Å): 6.2841 6.2841 10.4345
angles (deg): 90.00 90.00 120.00
Closest atoms and distances in Å follow each position.
Fractional coordinates of all 13 atoms:
Tb 0.0000 0.0000 0.1868  6 Hg 3.21, 1 Sn 3.27
Tb 0.0000 0.0000 0.8132  6 Hg 3.21, 1 Sn 3.27
Tb 0.3333 0.6667 0.0000  6 Hg 3.17
Tb 0.3333 0.6667 0.5000  6 Hg 3.19
Tb 0.6667 0.3333 0.0000  6 Hg 3.17
Tb 0.6667 0.3333 0.5000  6 Hg 3.19
Sn 0.0000 0.0000 0.5000  8 Tb 3.27-3.63
Hg 0.0000 0.5000 0.2488  4 Hg 3.14, 6 Tb 3.17-3.21
Hg 0.0000 0.5000 0.7512  4 Hg 3.14, 6 Tb 3.17-3.21
Hg 0.5000 0.0000 0.2488  4 Hg 3.14, 6 Tb 3.17-3.21
Hg 0.5000 0.0000 0.7512  4 Hg 3.14, 6 Tb 3.17-3.21
Hg 0.5000 0.5000 0.2488  4 Hg 3.14, 6 Tb 3.17-3.21
Hg 0.5000 0.5000 0.7512  4 Hg 3.14, 6 Tb 3.17-3.21